(1)
La4Rh2Au5 | PBE | relaxed

## Properties
Uncorrected energy ... -5.40 eV/atom
SG ... P2/m (10)
Spin magnetization ... 0.00 Bohr magnetons per cell
ΔH_f (0 K) ... -0.784 eV/atom

Cell lengths 7.490, 3.920, 9.142 Å; angles 90.00, 93.67, 90.00 degrees
Sites, in units of the cell vectors:
La 0.202 0.000 0.355
La 0.235 0.000 0.916
La 0.765 0.000 0.084
La 0.798 0.000 0.645
Rh 0.066 0.500 0.147
Rh 0.934 0.500 0.853
Au 0.170 0.500 0.632
Au 0.447 0.500 0.163
Au 0.500 0.500 0.500
Au 0.553 0.500 0.837
Au 0.830 0.500 0.368

***

(2)
SrScOs4 | PBE | relaxed

## Properties
Uncorrected energy ... -8.69 eV/atom
SG ... F-43m (216)
Spin magnetization ... 0.00 Bohr magnetons per cell
ΔH_f (0 K) ... 0.135 eV/atom

Cell lengths 5.350, 5.350, 5.350 Å; angles 60.00, 60.00, 60.00 degrees
Sites, in units of the cell vectors:
Sr 0.000 0.000 0.000
Sc 0.250 0.250 0.250
Os 0.127 0.624 0.624
Os 0.624 0.127 0.624
Os 0.624 0.624 0.127
Os 0.624 0.624 0.624

***

(3)
Ba2TaNbSe | PBE | relaxed

## Properties
Uncorrected energy ... -4.95 eV/atom
SG ... P4/mmm (123)
Spin magnetization ... 1.94 Bohr magnetons per cell
E_form (uncorrected) ... 0.904 eV per atom

Cell lengths 6.099, 6.099, 4.863 Å; angles 90.00, 90.00, 90.00 degrees
Sites, in units of the cell vectors:
Ba 0.000 0.500 0.000
Ba 0.500 0.000 0.000
Ta 0.000 0.000 0.500
Nb 0.500 0.500 0.500
Se 0.500 0.500 0.000

***

(4)
CeGdIn | PBE | relaxed

## Properties
Uncorrected energy ... -7.76 eV/atom
SG ... I4mm (107)
Spin magnetization ... 14.52 Bohr magnetons per cell
ΔH_f (0 K) ... -0.180 eV/atom

Cell lengths 4.077, 4.077, 10.294 Å; angles 90.00, 90.00, 90.00 degrees
Sites, in units of the cell vectors:
Ce 0.000 0.000 0.000
Ce 0.500 0.500 0.500
Gd 0.000 0.000 0.316
Gd 0.500 0.500 0.816
In 0.000 0.000 0.662
In 0.500 0.500 0.162

***

(5)
Ho2BeCuPt6 | PBE | relaxed

## Properties
Uncorrected energy ... -6.07 eV/atom
SG ... R-3m (166)
Spin magnetization ... 0.00 Bohr magnetons per cell
ΔH_f (0 K) ... -0.748 eV/atom

Cell lengths 7.665, 7.665, 7.665 Å; angles 42.30, 42.30, 42.30 degrees
Sites, in units of the cell vectors:
Ho 0.204 0.204 0.204
Ho 0.796 0.796 0.796
Be 0.000 0.000 0.000
Cu 0.500 0.500 0.500
Pt 0.242 0.242 0.737
Pt 0.242 0.737 0.242
Pt 0.263 0.758 0.758
Pt 0.737 0.242 0.242
Pt 0.758 0.263 0.758
Pt 0.758 0.758 0.263